Record 1
Compound: TbIn2Rh
Source: Alexandria via LeMat-Bulk
Functional: meta-GGA SCAN
Structure: PBEsol geometry

Cell and atoms, written as CIF:
```
data_TbIn2Rh
_chemical_formula_sum 'Tb4 In8 Rh4'
_cell_length_a 4.294
_cell_length_b 9.984
_cell_length_c 7.843
_cell_angle_alpha 90.00
_cell_angle_beta 90.00
_cell_angle_gamma 90.00
_space_group_name_H-M_alt 'C m c m'
_space_group_IT_number 63
_space_group_name_Hall '-C 2c 2'
loop_
_atom_site_label
_atom_site_type_symbol
_atom_site_fract_x
_atom_site_fract_y
_atom_site_fract_z
_atom_site_occupancy
Tb1 Tb 0.000 0.069 0.250 1
In1 In 0.000 0.357 0.050 1
Rh1 Rh 0.000 0.217 0.750 1
```

Values from the calculation:
Formation energy from the elements   -0.7385 eV per atom
Density of states at the Fermi level   0.48 states/eV per atom
Total moment   0.000 μB per atom
Crystal system   orthorhombic

Record 2
Compound: InTe2Rh2
Source: Alexandria via LeMat-Bulk
Functional: meta-GGA SCAN
Structure: PBEsol geometry

Cell and atoms, written as CIF:
```
data_InTe2Rh2
_chemical_formula_sum 'In2 Te4 Rh4'
_cell_length_a 4.034
_cell_length_b 4.034
_cell_length_c 13.914
_cell_angle_alpha 90.00
_cell_angle_beta 90.00
_cell_angle_gamma 90.00
_space_group_name_H-M_alt 'I 4/m m m'
_space_group_IT_number 139
_space_group_name_Hall '-I 4 2'
loop_
_atom_site_label
_atom_site_type_symbol
_atom_site_fract_x
_atom_site_fract_y
_atom_site_fract_z
_atom_site_occupancy
In1 In 0.000 0.000 0.000 1
Te1 Te 0.000 0.000 0.367 1
Rh1 Rh 0.000 0.500 0.250 1
```

Values from the calculation:
Density of states at the Fermi level   0.74 states/eV per atom
ΔE_f (raw)   -0.229 eV per atom
Total moment   0.000 μB per atom
Crystal system   tetragonal